Material: SrCrO2
Method: DFT, PBE+U
State: optimized geometry

Computed properties:
Crystal system: trigonal
N(E_F), states/eV/atom: 0.32
Uncorrected energy, eV for the cell shown: -75.30
ΔE to the lowest computed polymorph, meV per atom: 678
M_tot, μB per cell: 8.37

Cell lengths 3.207, 3.207, 19.886 Å; angles 90.00, 90.00, 120.00 degrees
Positions (direct):
Sr 0.000 0.000 0.000
Sr 0.333 0.667 0.667
Sr 0.667 0.333 0.333
Cr 0.000 0.000 0.500
Cr 0.333 0.667 0.167
Cr 0.667 0.333 0.833
O 0.000 0.000 0.118
O 0.000 0.000 0.882
O 0.333 0.667 0.548
O 0.333 0.667 0.785
O 0.667 0.333 0.215
O 0.667 0.333 0.452